## Sc2Cu4Ni5 (PBE-GGA)

Data for crystalline Sc2Cu4Ni5 at its relaxed geometry.

a b c (Å): 8.7862 8.1724 4.7321
angles (deg): 81.09 66.77 32.15
Fractional coordinates of all 11 atoms:
Sc: 0.1271 0.1271 0.8729
Sc: 0.8729 0.8729 0.1271
Cu: 0.2110 0.5318 0.4682
Cu: 0.4682 0.7890 0.2110
Cu: 0.5318 0.2110 0.7890
Cu: 0.7890 0.4682 0.5318
Ni: 0.0000 0.0000 0.5000
Ni: 0.2500 0.2500 0.2500
Ni: 0.5000 0.5000 0.0000
Ni: 0.5000 0.5000 0.5000
Ni: 0.7500 0.7500 0.7500

Results
Formation enthalpy at 0 K (eV per atom): -0.1236